Entry 1:
Dy2Y2CIBr2Cl2: relaxed, PBE-GGA.

Summary:
calculated total energy: -5.470 eV/atom
total magnetic moment: 0.3 μB per cell

Structure (POSCAR):
```
Dy2Y2CIBr2Cl2
1.0
-4.7798 5.3136 -5.1066
-5.6153 1.8378 -6.4999
-5.0455 -1.4596 6.6667
Br C Cl Dy I Y
2 1 2 2 1 2
Direct
0.1712 0.1712 0.3282
0.8288 0.8288 0.6718
0.5000 0.5000 0.0000
0.8296 0.8296 0.1453
0.1704 0.1704 0.8547
0.9989 0.9989 0.1913
0.0011 0.0011 0.8087
0.5000 0.5000 0.5000
0.6442 0.6442 0.0722
0.3558 0.3558 0.9278
```



Entry 2:
Dy2Y2CI2BrCl2: relaxed, PBE-GGA.

Summary:
calculated total energy: -5.389 eV/atom
offset from the most stable computed form: 0.1 kJ/mol of atoms
total magnetic moment: 0.2 μB per cell

Structure (POSCAR):
```
Dy2Y2CI2BrCl2
1.0
9.1443 -1.9253 0.0000
9.1443 1.9253 0.0000
-1.4063 0.0000 7.9920
Br C Cl Dy I Y
1 1 2 2 2 2
Direct
0.5000 0.5000 0.5000
0.5000 0.5000 0.0000
0.1486 0.1486 0.3079
0.8514 0.8514 0.6921
0.6331 0.6331 0.0662
0.3669 0.3669 0.9338
0.8249 0.8249 0.1986
0.1751 0.1751 0.8014
0.9977 0.9977 0.2008
0.0023 0.0023 0.7992
```



Entry 3:
Dy2Y2CIBr2Cl2: relaxed, PBE-GGA.

Summary:
calculated total energy: -5.469 eV/atom
total magnetic moment: 0.2 μB per cell

Structure (POSCAR):
```
Dy2Y2CIBr2Cl2
1.0
-7.6146 3.5525 -3.1623
-8.8135 0.2150 -1.6964
0.4607 3.2650 7.8106
Br C Cl Dy I Y
2 1 2 2 1 2
Direct
0.8279 0.8279 0.1628
0.1721 0.1721 0.8372
0.5000 0.5000 0.0000
0.1605 0.1605 0.3048
0.8395 0.8395 0.6952
0.6399 0.6399 0.0711
0.3601 0.3601 0.9289
0.5000 0.5000 0.5000
0.9997 0.9997 0.1920
0.0003 0.0003 0.8080
```



Entry 4:
Dy2Y2CI2BrCl2: relaxed, PBE-GGA.

Summary:
calculated total energy: -5.391 eV/atom
offset from the most stable computed form: 0.0 kJ/mol of atoms
total magnetic moment: 0.2 μB per cell

Structure (POSCAR):
```
Dy2Y2CI2BrCl2
1.0
9.1334 -1.9236 0.0000
9.1334 1.9236 0.0000
-1.4297 0.0000 7.9673
Br C Cl Dy I Y
1 1 2 2 2 2
Direct
0.5000 0.5000 0.5000
0.5000 0.5000 0.0000
0.1486 0.1486 0.3109
0.8514 0.8514 0.6891
0.9979 0.9979 0.2007
0.0021 0.0021 0.7993
0.8251 0.8251 0.1995
0.1749 0.1749 0.8005
0.6340 0.6340 0.0675
0.3660 0.3660 0.9325
```



Entry 5:
Dy2Y2CI2BrCl2: relaxed, PBE-GGA.

Summary:
calculated total energy: -5.368 eV/atom
offset from the most stable computed form: 2.2 kJ/mol of atoms
total magnetic moment: 0.3 μB per cell

Structure (POSCAR):
```
Dy2Y2CI2BrCl2
1.0
9.1190 -1.9262 0.0000
9.1190 1.9262 0.0000
-1.5865 0.0000 8.0047
Br C Cl Dy I Y
1 1 2 2 2 2
Direct
0.5000 0.5000 0.5000
0.5000 0.5000 0.0000
0.8397 0.8397 0.1644
0.1603 0.1603 0.8356
0.9981 0.9981 0.1999
0.0019 0.0019 0.8001
0.1682 0.1682 0.3479
0.8318 0.8318 0.6521
0.6333 0.6333 0.0574
0.3667 0.3667 0.9426
```



Entry 6:
Dy2Y2CIBr2Cl2: relaxed, PBE-GGA.

Summary:
calculated total energy: -5.470 eV/atom
total magnetic moment: 0.2 μB per cell

Structure (POSCAR):
```
Dy2Y2CIBr2Cl2
1.0
8.8145 -1.9183 0.0000
8.8145 1.9183 0.0000
-1.9521 0.0000 8.2288
Br C Cl Dy I Y
2 1 2 2 1 2
Direct
0.8288 0.8288 0.1610
0.1712 0.1712 0.8390
0.5000 0.5000 0.0000
0.1594 0.1594 0.3091
0.8406 0.8406 0.6909
0.9997 0.9997 0.1919
0.0003 0.0003 0.8081
0.5000 0.5000 0.5000
0.6399 0.6399 0.0741
0.3601 0.3601 0.9259
```



Copy entry 1 word for word.
Dy2Y2CIBr2Cl2: relaxed, PBE-GGA.

Summary:
calculated total energy: -5.470 eV/atom
total magnetic moment: 0.3 μB per cell

Structure (POSCAR):
```
Dy2Y2CIBr2Cl2
1.0
-4.7798 5.3136 -5.1066
-5.6153 1.8378 -6.4999
-5.0455 -1.4596 6.6667
Br C Cl Dy I Y
2 1 2 2 1 2
Direct
0.1712 0.1712 0.3282
0.8288 0.8288 0.6718
0.5000 0.5000 0.0000
0.8296 0.8296 0.1453
0.1704 0.1704 0.8547
0.9989 0.9989 0.1913
0.0011 0.0011 0.8087
0.5000 0.5000 0.5000
0.6442 0.6442 0.0722
0.3558 0.3558 0.9278
```



Which value of calculated total energy does entry 4 give? -5.391 eV/atom



Number 2 is which compound? Dy2Y2CI2BrCl2